Record 1
VASP calculation (PBE) on crystalline K2Ta2B at its relaxed geometry.

The calculation puts the calculated total energy at -4.318 eV per atom. The calculation puts the energy above the most stable polymorph in this dataset at 0.636 eV per atom. For the volume, the calculation gives 318.6 Å³/cell.

The space group is P4/mbm (No. 127) and the conventional cell measures 10.6401, 10.6401 and 2.8137 Å, with angles of 90.00, 90.00 and 90.00 degrees. Symmetry generates all atoms from K at (0.2083, 0.2917, 0.0000), Ta at (0.0800, 0.5800, 0.5000) and B at (0.0000, 0.0000, 0.0000).

Record 2
VASP calculation (PBE) on crystalline MgZnO3 at its relaxed geometry.

The calculation puts the calculated total energy at -4.350 eV per atom. Its formation energy (no corrections) is -0.802 eV per atom. For the volume, the calculation gives 53.4 Å³/cell.

The space group is Pm-3m (No. 221) and the conventional cell measures 3.7657, 3.7657 and 3.7657 Å, with angles of 90.00, 90.00 and 90.00 degrees. Symmetry generates all atoms from Mg at (0.0000, 0.0000, 0.0000), Zn at (0.5000, 0.5000, 0.5000) and O at (0.0000, 0.5000, 0.5000).

Record 3
VASP calculation (PBE) on crystalline Ce2PrPa at its relaxed geometry.

The calculation puts the calculated total energy at -5.879 eV per atom. The calculation puts the energy above the most stable polymorph in this dataset at 0.567 eV per atom. For the volume, the calculation gives 380.4 Å³/cell.

The space group is R-3m (No. 166, hexagonal axes) and the conventional cell measures 3.8416, 3.8416 and 29.7663 Å, with angles of 90.00, 90.00 and 120.00 degrees. Symmetry generates all atoms from Ce at (0.0000, 0.0000, 0.1124), Pr at (0.0000, 0.0000, 0.0000) and Pa at (0.0000, 0.0000, 0.5000).

Record 4
VASP calculation (PBE) on crystalline Pm3Y2Ge2 at its relaxed geometry.

The calculation puts the calculated total energy at -5.736 eV per atom. For the volume, the calculation gives 400.8 Å³/cell.

The space group is C2/m (No. 12) and the conventional cell measures 12.0459, 4.2196 and 8.4223 Å, with angles of 90.00, 110.57 and 90.00 degrees. Symmetry generates all atoms from Pm at (0.0000, 0.0000, 0.0000), Pm at (0.1290, 0.0000, 0.4382), Y at (0.1516, 0.5000, 0.8039) and Ge at (0.1768, 0.5000, 0.1955).

Record 5
VASP calculation (PBE) on crystalline Ta3TiRu at its relaxed geometry.

The calculation puts the calculated total energy at -9.455 eV per atom. The calculation puts the energy above the most stable polymorph in this dataset at 0.000 eV per atom. For the volume, the calculation gives 109.2 Å³/cell.

The space group is Pm-3m (No. 221) and the conventional cell measures 4.7801, 4.7801 and 4.7801 Å, with angles of 90.00, 90.00 and 90.00 degrees. Symmetry generates all atoms from Ta at (0.0000, 0.0000, 0.5000), Ti at (0.5000, 0.5000, 0.5000) and Ru at (0.0000, 0.0000, 0.0000).

Record 6
VASP calculation (PBE) on crystalline ScCo2Te at its relaxed geometry.

The calculation puts the calculated total energy at -5.839 eV per atom. Its formation energy (no corrections) is 0.083 eV per atom. The calculation puts the energy above the most stable polymorph in this dataset at 0.300 eV per atom. For the volume, the calculation gives 287.9 Å³/cell.

The space group is I-42d (No. 122) and the conventional cell measures 4.0886, 4.0886 and 17.2205 Å, with angles of 90.00, 90.00 and 90.00 degrees. Symmetry generates all atoms from Sc at (0.0000, 0.0000, 0.0000), Co at (0.1910, 0.2500, 0.6250) and Te at (0.0000, 0.0000, 0.5000).

Record 7
VASP calculation (PBE) on crystalline Mg6TiCr at its relaxed geometry.

The calculation puts the calculated total energy at -3.169 eV per atom. The calculation puts the energy above the most stable polymorph in this dataset at 0.019 eV per atom. For the volume, the calculation gives 333.1 Å³/cell.

The space group is Amm2 (No. 38) and the conventional cell measures 4.9919, 6.1658 and 10.8228 Å, with angles of 90.00, 90.00 and 90.00 degrees. Symmetry generates all atoms from Mg at (0.0000, 0.0000, 0.0000), Mg at (0.0000, 0.0000, 0.4984), Mg at (0.0000, 0.2499, 0.2598), Mg at (0.5000, 0.2484, 0.0905), Ti at (0.5000, 0.0000, 0.8399) and Cr at (0.5000, 0.0000, 0.3385).

Record 8
VASP calculation (PBE) on crystalline Y2AlTc at its relaxed geometry.

The calculation puts the calculated total energy at -6.674 eV per atom. For the volume, the calculation gives 280.7 Å³/cell.

The space group is R-3m (No. 166, hexagonal axes) and the conventional cell measures 3.4301, 3.4301 and 27.5494 Å, with angles of 90.00, 90.00 and 120.00 degrees. Symmetry generates all atoms from Y at (0.0000, 0.0000, 0.2415), Al at (0.0000, 0.0000, 0.0000) and Tc at (0.0000, 0.0000, 0.5000).